1.
PBE NaMn, optimized geometry; space group = P4/mmm (123); energy = -4.608 eV/atom; mass density = 3.0 g cm⁻³; magnetic moment = 6.6 Bohr magnetons per cell
1.0
11.087 0.000 0.000
0.000 11.087 0.000
0.000 0.000 2.778
Na Mn
8 8
direct
0.153 0.500 0.500
0.847 0.500 0.500
0.500 0.847 0.500
0.500 0.153 0.500
0.778 0.000 0.000
0.222 0.000 0.000
0.000 0.222 0.000
0.000 0.778 0.000
0.728 0.728 0.500
0.728 0.272 0.500
0.272 0.728 0.500
0.272 0.272 0.500
0.605 0.605 0.000
0.605 0.395 0.000
0.395 0.605 0.000
0.395 0.395 0.000

---

2.
PBE NaMn, optimized geometry; space group = Cm (8); energy = -4.701 eV/atom; mass density = 2.7 g cm⁻³; magnetic moment = 0.1 Bohr magnetons per cell
1.0
-1.457 2.549 -0.090
-3.108 -1.728 1.371
6.650 0.956 16.276
Na Mn
4 4
direct
0.652 0.000 0.618
0.652 0.500 0.118
0.973 0.000 0.938
0.973 0.500 0.438
0.315 0.000 0.778
0.315 0.500 0.278
0.816 0.000 0.278
0.816 0.500 0.778

---

3.
PBE NaMn, optimized geometry; space group = P4_12_12 (92); energy = -4.477 eV/atom; mass density = 3.0 g cm⁻³; magnetic moment = 31.1 Bohr magnetons per cell
1.0
-2.743 0.689 -5.245
-5.175 -1.577 2.499
-1.773 9.200 2.135
Na Mn
8 8
direct
0.038 0.194 0.362
0.538 0.306 0.388
0.462 0.694 0.888
0.962 0.806 0.862
0.806 0.962 0.138
0.306 0.538 0.612
0.694 0.462 0.112
0.194 0.038 0.638
0.425 0.810 0.343
0.925 0.690 0.407
0.075 0.310 0.907
0.575 0.190 0.843
0.190 0.575 0.157
0.690 0.925 0.593
0.310 0.075 0.093
0.810 0.425 0.657

---

4.
PBE NaMn, optimized geometry; space group = Pm-3n (223); energy = -3.588 eV/atom; mass density = 1.1 g cm⁻³; magnetic moment = 27.9 Bohr magnetons per cell
1.0
8.810 0.000 0.000
0.000 8.810 0.000
0.000 0.000 8.810
Na Mn
6 6
direct
0.250 0.500 0.000
0.750 0.500 0.000
0.500 0.000 0.250
0.500 0.000 0.750
0.000 0.250 0.500
0.000 0.750 0.500
0.250 0.000 0.500
0.750 0.000 0.500
0.000 0.500 0.250
0.000 0.500 0.750
0.500 0.250 0.000
0.500 0.750 0.000

---

5.
PBE NaMn, optimized geometry; space group = Fddd (70); energy = -4.362 eV/atom; mass density = 2.6 g cm⁻³; magnetic moment = 66.7 Bohr magnetons per cell
1.0
-5.432 0.666 -0.883
1.312 -7.699 -13.877
-1.618 -7.715 4.127
Na Mn
16 16
direct
0.000 0.000 0.665
0.000 0.000 0.335
0.250 0.750 0.585
0.250 0.750 0.915
0.000 0.500 0.165
0.000 0.500 0.835
0.250 0.250 0.085
0.250 0.250 0.415
0.500 0.000 0.165
0.500 0.000 0.835
0.750 0.750 0.085
0.750 0.750 0.415
0.500 0.500 0.665
0.500 0.500 0.335
0.750 0.250 0.585
0.750 0.250 0.915
0.000 0.085 0.000
0.000 0.915 0.000
0.250 0.665 0.250
0.250 0.835 0.250
0.000 0.585 0.500
0.000 0.415 0.500
0.250 0.165 0.750
0.250 0.335 0.750
0.500 0.085 0.500
0.500 0.915 0.500
0.750 0.665 0.750
0.750 0.835 0.750
0.500 0.585 0.000
0.500 0.415 0.000
0.750 0.165 0.250
0.750 0.335 0.250

---

6.
PBE NaMn, optimized geometry; space group = Cmmm (65); energy = -4.635 eV/atom; mass density = 3.0 g cm⁻³; magnetic moment = 9.1 Bohr magnetons per cell
1.0
5.553 0.000 0.000
0.000 16.056 0.000
0.000 0.000 2.936
Na Mn
6 6
direct
0.000 0.193 0.500
0.000 0.807 0.500
0.500 0.693 0.500
0.500 0.307 0.500
0.000 0.000 0.000
0.500 0.500 0.000
0.000 0.620 0.000
0.000 0.380 0.000
0.500 0.120 0.000
0.500 0.880 0.000
0.500 0.000 0.500
0.000 0.500 0.500

---

7.
PBE NaMn, optimized geometry; space group = Pmmn (59); energy = -4.710 eV/atom; mass density = 3.0 g cm⁻³; magnetic moment = 1.5 Bohr magnetons per cell
1.0
2.841 0.000 0.000
0.000 10.043 0.000
0.000 0.000 8.955
Na Mn
6 6
direct
0.000 0.355 0.672
0.500 0.645 0.828
0.500 0.645 0.172
0.000 0.355 0.328
0.000 0.218 0.000
0.500 0.782 0.500
0.000 0.917 0.782
0.500 0.083 0.718
0.500 0.083 0.282
0.000 0.917 0.218
0.000 0.064 0.500
0.500 0.936 0.000

---

8.
PBE NaMn, optimized geometry; space group = P6_3/mmc (194); energy = -4.291 eV/atom; mass density = 3.2 g cm⁻³; magnetic moment = 0.0 Bohr magnetons per cell
1.0
-7.825 0.418 -5.312
3.404 -8.391 2.761
-1.757 0.143 2.599
Na Mn
6 6
direct
0.836 0.673 0.250
0.164 0.836 0.750
0.327 0.164 0.250
0.164 0.327 0.750
0.836 0.164 0.250
0.673 0.836 0.750
0.459 0.918 0.250
0.541 0.459 0.750
0.082 0.541 0.250
0.541 0.082 0.750
0.459 0.541 0.250
0.918 0.459 0.750

---

9.
PBE NaMn, optimized geometry; space group = P6_3/mmc (194); energy = -3.781 eV/atom; mass density = 1.7 g cm⁻³; magnetic moment = 9.2 Bohr magnetons per cell
1.0
-4.420 -2.755 1.042
2.207 -0.246 -4.825
3.396 -4.769 1.796
Na Mn
2 2
direct
0.333 0.667 0.250
0.667 0.333 0.750
0.333 0.667 0.750
0.667 0.333 0.250

---

10.
PBE NaMn, optimized geometry; space group = P4_2/mnm (136); energy = -4.135 eV/atom; mass density = 2.4 g cm⁻³; magnetic moment = 17.3 Bohr magnetons per cell
1.0
-5.008 2.886 -1.536
-0.805 -3.812 -4.538
-3.204 -3.632 3.620
Na Mn
4 4
direct
0.176 0.824 0.000
0.676 0.676 0.500
0.324 0.324 0.500
0.824 0.176 0.000
0.342 0.342 0.000
0.842 0.158 0.500
0.158 0.842 0.500
0.658 0.658 0.000

---

11.
PBE NaMnNb3, optimized geometry; space group = Pm-3m (221); energy = -7.268 eV/atom; relative energy among the computed polymorphs = 0.000 eV per formula unit; mass density = 5.7 g cm⁻³; magnetic moment = 0.0 Bohr magnetons per cell
1.0
4.692 0.000 0.000
0.000 4.692 0.000
0.000 0.000 4.692
Na Nb Mn
1 3 1
direct
0.500 0.500 0.500
0.000 0.500 0.000
0.000 0.000 0.500
0.500 0.000 0.000
0.000 0.000 0.000

---

12.
PBE Na2MnNb, optimized geometry; space group = I-42d (122); energy = -4.081 eV/atom; relative energy among the computed polymorphs = 0.000 eV per formula unit; mass density = 3.1 g cm⁻³; magnetic moment = 0.9 Bohr magnetons per cell
1.0
9.745 0.000 0.000
0.000 9.745 0.000
4.872 4.872 2.199
Na Nb Mn
4 2 2
direct
0.521 0.125 0.250
0.229 0.625 0.250
0.375 0.479 0.750
0.875 0.771 0.750
0.000 0.000 0.000
0.750 0.250 0.500
0.500 0.500 0.000
0.250 0.750 0.500

---

13.
PBE Na3MnNb, optimized geometry; space group = Pm-3m (221); energy = -2.688 eV/atom; mass density = 2.2 g cm⁻³; magnetic moment = 5.5 Bohr magnetons per cell
1.0
5.506 0.000 0.000
0.000 5.506 0.000
0.000 0.000 5.506
Na Nb Mn
3 1 1
direct
0.000 0.500 0.000
0.000 0.000 0.500
0.500 0.000 0.000
0.000 0.000 0.000
0.500 0.500 0.500

---

14.
PBE Na2MnNb, optimized geometry; space group = Fm-3m (225); energy = -3.711 eV/atom; relative energy among the computed polymorphs = 1.481 eV per formula unit; mass density = 4.4 g cm⁻³; magnetic moment = 0.0 Bohr magnetons per cell
1.0
0.000 3.327 3.327
3.327 0.000 3.327
3.327 3.327 0.000
Na Nb Mn
2 1 1
direct
0.250 0.250 0.250
0.750 0.750 0.750
0.500 0.500 0.500
0.000 0.000 0.000